Entry 1:
Material: Sr2PdAu3
Method: DFT, PBE
State: relaxed

* energy of formation: -0.69 eV/atom
* total moment: 0.0 μB per cell
* D(E_F): 2.4 states/eV/cell
* distance to the lowest polymorph of the same formula: 0 meV/atom
* raw total energy: -3.754 eV/atom

Lattice parameters (Å, degrees): 3.9974 4.7162 8.1941 90.00 90.00 90.00
With the nearest neighbours (Å) after each atom.
Space group Pmm2 (No. 25)
One atom of each set of equivalent atoms:
Sr  0.0000  0.0000  0.0000 [1 per cell]  2 Pd 3.31, 10 Au 3.37-3.49
Sr  0.0000  0.5000  0.4838 [1 per cell]  8 Au 3.30-3.44, 4 Pd 3.36
Pd  0.5000  0.0000  0.3218 [1 per cell]  3 Au 2.69
Au  0.5000  0.0000  0.6506 [1 per cell]  1 Pd 2.69, 2 Au 2.76
Au  0.5000  0.5000  0.1629 [1 per cell]  2 Pd 2.69, 1 Au 2.76
Au  0.5000  0.5000  0.8261 [1 per cell]  3 Au 2.76

---

Entry 2:
Material: SrPd8Au3
Method: DFT, PBE
State: relaxed

* energy of formation: -0.10 eV/atom
* total moment: 0.0 μB per cell
* D(E_F): 12.1 states/eV/cell
* raw total energy: -4.524 eV/atom

Lattice parameters (Å, degrees): 5.3045 5.3045 8.8165 90.00 90.00 120.00
With the nearest neighbours (Å) after each atom.
Space group P3m1 (No. 156)
One atom of each set of equivalent atoms:
Sr  0.0000  0.0000  0.0000 [1 per cell]  12 Pd 3.11-3.19, 4 Au 3.36-3.44
Pd  0.1647  0.3294  0.6813 [3 per cell]  6 Pd 2.62-2.73
Pd  0.3333  0.6667  0.4355 [1 per cell]  6 Pd 2.64-2.66
Pd  0.3333  0.6667  0.9358 [1 per cell]  6 Pd 2.73-2.76
Pd  0.5028  0.0057  0.1943 [3 per cell]  6 Pd 2.61-2.76
Au  0.0000  0.0000  0.3898 [1 per cell]  12 Pd 2.98-3.16, 3 Au 3.20
Au  0.6667  0.3333  0.4950 [1 per cell]  12 Pd 3.05-3.12, 4 Au 3.07-3.20
Au  0.6667  0.3333  0.8435 [1 per cell]  9 Pd 3.01-3.17, 1 Au 3.07, 3 Sr 3.36

---

Entry 3:
Material: Sr8Pd3Au2
Method: DFT, PBE
State: relaxed

* energy of formation: -0.53 eV/atom
* total moment: 0.0 μB per cell
* D(E_F): 5.4 states/eV/cell
* raw total energy: -3.263 eV/atom

Lattice parameters (Å, degrees): 9.3073 5.3442 9.3397 90.00 109.73 90.00
With the nearest neighbours (Å) after each atom.
Space group P2/m (No. 10)
One atom of each set of equivalent atoms:
Sr  0.1197  0.0000  0.3810 [2 per cell]  4 Pd 3.23-3.27, 2 Au 3.35
Sr  0.1248  0.5000  0.8664 [2 per cell]  3 Pd 3.22-3.25, 2 Au 3.30-3.36
Sr  0.3669  0.5000  0.6252 [2 per cell]  3 Pd 3.21-3.25, 2 Au 3.32-3.34
Sr  0.3776  0.0000  0.1219 [2 per cell]  2 Pd 3.24-3.25, 2 Au 3.29
Pd  0.0000  0.5000  0.5000 [1 per cell]  8 Sr 3.21-3.23
Pd  0.2523  0.0000  0.7523 [2 per cell]  8 Sr 3.24-3.27
Au  0.2520  0.5000  0.2481 [2 per cell]  8 Sr 3.29-3.36

---

Entry 4:
Material: Sr2PdAu3
Method: DFT, PBE
State: relaxed

* energy of formation: -0.49 eV/atom
* total moment: 0.0 μB per cell
* D(E_F): 6.3 states/eV/cell
* distance to the lowest polymorph of the same formula: 198 meV/atom
* raw total energy: -3.555 eV/atom

Lattice parameters (Å, degrees): 4.8649 5.8616 11.1831 90.00 90.00 90.00
With the nearest neighbours (Å) after each atom.
Space group Immm (No. 71)
One atom of each set of equivalent atoms:
Sr  0.0000  0.0000  0.1939 [4 per cell]  6 Au 3.03-3.26
Pd  0.0000  0.0000  0.5000 [2 per cell]  6 Au 2.80-2.93
Au  0.0000  0.5000  0.1243 [4 per cell]  1 Au 2.78, 2 Pd 2.80, 2 Sr 3.03
Au  0.0000  0.5000  0.5000 [2 per cell]  2 Pd 2.93, 4 Sr 3.26

---

Entry 5:
Material: SrPd2Au8
Method: DFT, PBE
State: relaxed

* energy of formation: 0.00 eV/atom
* total moment: 0.0 μB per cell
* D(E_F): 1.8 states/eV/cell
* raw total energy: -3.483 eV/atom

Lattice parameters (Å, degrees): 5.5626 5.5626 8.8676 90.00 90.00 90.00
With the nearest neighbours (Å) after each atom.
Space group P4/mmm (No. 123)
One atom of each set of equivalent atoms:
Sr  0.0000  0.0000  0.0000 [1 per cell]  8 Au 3.19
Pd  0.0000  0.5000  0.5000 [2 per cell]  8 Au 2.76
Au  0.2517  0.2517  0.2814 [8 per cell]  2 Pd 2.76, 4 Au 2.76-2.80

---

Entry 6:
Material: Sr4Pd3Au
Method: DFT, PBE
State: relaxed

* energy of formation: -0.66 eV/atom
* total moment: 0.0 μB per cell
* D(E_F): 2.6 states/eV/cell
* raw total energy: -3.859 eV/atom

Lattice parameters (Å, degrees): 4.2763 4.6039 11.5104 90.00 90.00 90.00
With the nearest neighbours (Å) after each atom.
Space group Pmm2 (No. 25)
One atom of each set of equivalent atoms:
Sr  0.0000  0.0000  0.0000 [1 per cell]  6 Pd 3.20-3.22, 1 Au 3.36
Sr  0.0000  0.5000  0.2706 [1 per cell]  7 Pd 3.23-3.32
Sr  0.5000  0.0000  0.4892 [1 per cell]  5 Pd 3.24-3.25, 2 Au 3.30
Sr  0.5000  0.5000  0.7747 [1 per cell]  4 Au 3.23, 3 Pd 3.27-3.29
Pd  0.0000  0.5000  0.5593 [1 per cell]  2 Au 2.87
Pd  0.5000  0.0000  0.2068 [1 per cell]  2 Pd 2.85
Pd  0.5000  0.5000  0.0607 [1 per cell]  2 Pd 2.85
Au  0.0000  0.0000  0.7081 [1 per cell]  2 Pd 2.87

---

Entry 7:
Material: SrPd2Au3
Method: DFT, PBE
State: relaxed

* energy of formation: -0.40 eV/atom
* total moment: 0.0 μB per cell
* D(E_F): 10.1 states/eV/cell
* raw total energy: -4.052 eV/atom

Lattice parameters (Å, degrees): 10.0950 9.2692 5.5621 90.00 90.00 90.00
With the nearest neighbours (Å) after each atom.
Space group Cmcm (No. 63)
One atom of each set of equivalent atoms:
Sr  0.0000  0.1865  0.2500 [4 per cell]  7 Au 3.19-3.42, 4 Pd 3.45
Pd  0.2389  0.5000  0.0000 [8 per cell]  6 Au 2.72-2.82, 2 Pd 2.78
Au  0.0000  0.4600  0.7500 [4 per cell]  4 Au 2.81-2.88, 4 Pd 2.81
Au  0.1910  0.2401  0.7500 [8 per cell]  4 Pd 2.72-2.82, 3 Au 2.81-3.03

---

Entry 8:
Material: SrPd2Au6
Method: DFT, PBE
State: relaxed

* energy of formation: -0.13 eV/atom
* total moment: 0.0 μB per cell
* D(E_F): 3.2 states/eV/cell
* raw total energy: -3.654 eV/atom

Lattice parameters (Å, degrees): 5.6489 5.6489 7.4576 90.00 90.00 120.00
With the nearest neighbours (Å) after each atom.
Space group P6/mmm (No. 191)
One atom of each set of equivalent atoms:
Sr  0.0000  0.0000  0.0000 [1 per cell]  12 Au 3.20
Pd  0.3333  0.6667  0.5000 [2 per cell]  6 Au 2.77
Au  0.0000  0.5000  0.2005 [6 per cell]  2 Pd 2.77, 5 Au 2.82-2.99

---

Entry 9:
Material: SrPd4Au6
Method: DFT, PBE
State: relaxed

* energy of formation: -0.09 eV/atom
* total moment: 0.0 μB per cell
* D(E_F): 10.3 states/eV/cell
* raw total energy: -3.914 eV/atom

Lattice parameters (Å, degrees): 6.7564 6.7564 10.2191 90.00 90.00 90.00
With the nearest neighbours (Å) after each atom.
Space group I-42m (No. 121)
One atom of each set of equivalent atoms:
Sr  0.0000  0.0000  0.0000 [2 per cell]  8 Au 3.23-3.38, 4 Pd 3.44
Pd  0.1531  0.1531  0.4100 [8 per cell]  6 Au 2.63-2.84, 3 Pd 2.77-2.93
Au  0.0000  0.5000  0.0000 [4 per cell]  4 Pd 2.72, 4 Au 3.03
Au  0.2225  0.2225  0.6806 [8 per cell]  4 Pd 2.63-2.84

---

Entry 10:
Material: SrPdAu
Method: DFT, PBE
State: relaxed

* energy of formation: -0.46 eV/atom
* total moment: 0.0 μB per cell
* D(E_F): 3.2 states/eV/cell
* distance to the lowest polymorph of the same formula: 214 meV/atom
* raw total energy: -3.848 eV/atom

Lattice parameters (Å, degrees): 3.7309 3.7309 10.0782 90.00 90.00 90.00
With the nearest neighbours (Å) after each atom.
Space group I4mm (No. 107)
One atom of each set of equivalent atoms:
Sr  0.0000  0.0000  0.0000 [2 per cell]  5 Pd 3.09-3.28, 5 Au 3.10-3.27
Pd  0.0000  0.0000  0.3063 [2 per cell]  4 Au 2.88, 1 Sr 3.09
Au  0.0000  0.0000  0.6920 [2 per cell]  4 Pd 2.88, 1 Sr 3.10

---

Entry 11:
Material: Sr2PdAu2
Method: DFT, PBE
State: relaxed

* energy of formation: -0.53 eV/atom
* total moment: 0.0 μB per cell
* D(E_F): 4.9 states/eV/cell
* distance to the lowest polymorph of the same formula: 175 meV/atom
* raw total energy: -3.554 eV/atom

Lattice parameters (Å, degrees): 6.0048 6.0048 8.0617 90.00 90.00 90.00
With the nearest neighbours (Å) after each atom.
Space group I4/mmm (No. 139)
One atom of each set of equivalent atoms:
Sr  0.0000  0.5000  0.2500 [4 per cell]  4 Au 3.08
Pd  0.0000  0.0000  0.0000 [2 per cell]  2 Au 2.70
Au  0.0000  0.0000  0.3351 [4 per cell]  1 Au 2.66, 1 Pd 2.70

---

Entry 12:
Material: Sr3Pd7Au2
Method: DFT, PBE
State: relaxed

* energy of formation: -0.58 eV/atom
* total moment: 0.0 μB per cell
* D(E_F): 17.8 states/eV/cell
* raw total energy: -4.572 eV/atom

Lattice parameters (Å, degrees): 5.5870 5.5870 27.2872 90.00 90.00 120.00
With the nearest neighbours (Å) after each atom.
Space group R-3m (No. 166, hexagonal axes)
One atom of each set of equivalent atoms:
Sr  0.0000  0.0000  0.0000 [3 per cell]  6 Au 3.23
Sr  0.0000  0.0000  0.1399 [6 per cell]  12 Pd 3.18-3.39, 3 Sr 3.54
Pd  0.0000  0.0000  0.5000 [3 per cell]  6 Pd 2.77
Pd  0.0010  0.5005  0.9159 [18 per cell]  5 Pd 2.77-2.80, 2 Au 2.79-2.82
Au  0.0000  0.0000  0.3329 [6 per cell]  6 Pd 2.79-2.82